Computed, not measured: InFe2Hg after structural relaxation at the PBE-GGA level of DFT.

POSCAR file:
```
InFe2Hg
1.0
-1.9943 1.9943 4.1863
1.9943 -1.9943 4.1863
1.9943 1.9943 -4.1863
In Fe Hg
1 2 1
direct
0.0000 0.0000 0.0000 In
0.2500 0.7500 0.5000 Fe
0.5000 0.5000 0.0000 Fe
0.7500 0.2500 0.5000 Hg
```

## Properties
* calculated volume: 66.6 Å³ per cell
* polymorph energy (0 for the lowest one): 152 meV/atom

=====

Computed, not measured: PmNdLu4 after structural relaxation at the PBE-GGA level of DFT.

POSCAR file:
```
PmNdLu4
1.0
0.0000 4.6779 4.6779
4.6779 0.0000 4.6779
4.6779 4.6779 0.0000
Pm Nd Lu
1 1 4
direct
0.0000 0.0000 0.0000 Pm
0.7500 0.7500 0.7500 Nd
0.3750 0.3750 0.3750 Lu
0.3750 0.3750 0.8750 Lu
0.3750 0.8750 0.3750 Lu
0.8750 0.3750 0.3750 Lu
```

## Properties
* total DFT energy (no corrections): -4.33 eV per atom
* calculated volume: 204.7 Å³ per cell

=====

Computed, not measured: BaCaRh2 after structural relaxation at the PBE-GGA level of DFT.

POSCAR file:
```
BaCaRh2
1.0
3.5848 0.0000 0.0000
0.0000 3.6420 0.0000
-0.0212 0.0000 7.1697
Ba Ca Rh
1 1 2
direct
0.0000 0.0000 0.0000 Ba
0.0000 0.0000 0.5000 Ca
0.4992 0.5000 0.2851 Rh
0.5008 0.5000 0.7149 Rh
```

## Properties
* calculated volume: 93.6 Å³ per cell
* polymorph energy (0 for the lowest one): 147 meV/atom

=====

Computed, not measured: SrZrTa2 after structural relaxation at the PBE-GGA level of DFT.

POSCAR file:
```
SrZrTa2
1.0
2.9727 0.0000 0.0000
0.0000 2.9727 0.0000
0.0000 0.0000 10.5087
Sr Zr Ta
1 1 2
direct
0.0000 0.0000 0.0000 Sr
0.0000 0.0000 0.5000 Zr
0.5000 0.5000 0.2808 Ta
0.5000 0.5000 0.7192 Ta
```

## Properties
* calculated volume: 92.9 Å³ per cell
* polymorph energy (0 for the lowest one): 230 meV/atom

=====

Computed, not measured: CsKBi2 after structural relaxation at the PBE-GGA level of DFT.

POSCAR file:
```
CsKBi2
1.0
8.5064 0.0000 0.0000
0.0000 7.7690 0.0000
0.0000 0.0000 11.3043
Cs K Bi
4 4 8
direct
0.0045 0.2500 0.2042 Cs
0.4955 0.7500 0.7042 Cs
0.5045 0.2500 0.2958 Cs
0.9955 0.7500 0.7958 Cs
0.1142 0.7500 0.2720 K
0.3858 0.2500 0.7720 K
0.6142 0.7500 0.2280 K
0.8858 0.2500 0.7280 K
0.1751 0.0481 0.5176 Bi
0.1751 0.4519 0.5176 Bi
0.3249 0.5481 0.0176 Bi
0.3249 0.9519 0.0176 Bi
0.6751 0.0481 0.9824 Bi
0.6751 0.4519 0.9824 Bi
0.8249 0.5481 0.4824 Bi
0.8249 0.9519 0.4824 Bi
```

## Properties
* calculated volume: 747.1 Å³ per cell
* polymorph energy (0 for the lowest one): 17 meV/atom

=====

Computed, not measured: Tl3AsIr after structural relaxation at the PBE-GGA level of DFT.

POSCAR file:
```
Tl3AsIr
1.0
5.4174 0.0000 0.0000
0.0000 5.4174 0.0000
0.0000 0.0000 5.4174
Tl As Ir
3 1 1
direct
0.0000 0.0000 0.5000 Tl
0.0000 0.5000 0.0000 Tl
0.5000 0.0000 0.0000 Tl
0.0000 0.0000 0.0000 As
0.5000 0.5000 0.5000 Ir
```

## Properties
* calculated volume: 159.0 Å³ per cell
* polymorph energy (0 for the lowest one): 747 meV/atom

=====

Computed, not measured: Ga2HSe after structural relaxation at the PBE-GGA level of DFT.

POSCAR file:
```
Ga2HSe
1.0
0.0000 3.2753 3.2753
3.2753 0.0000 3.2753
3.2753 3.2753 0.0000
Ga H Se
2 1 1
direct
0.2500 0.2500 0.2500 Ga
0.7500 0.7500 0.7500 Ga
0.0000 0.0000 0.0000 H
0.5000 0.5000 0.5000 Se
```

## Properties
* calculated volume: 70.3 Å³ per cell
* polymorph energy (0 for the lowest one): 227 meV/atom

=====

Computed, not measured: Th4Te2PIr after structural relaxation at the PBE-GGA level of DFT.

POSCAR file:
```
Th4Te2PIr
1.0
7.5117 0.0000 0.0000
0.0000 4.1489 0.0000
-2.3947 0.0000 7.4431
Th Te P Ir
4 2 1 1
direct
0.2247 0.0000 0.2068 Th
0.2656 0.5000 0.7895 Th
0.7344 0.5000 0.2105 Th
0.7753 0.0000 0.7932 Th
0.0000 0.0000 0.5000 Te
0.5000 0.5000 0.5000 Te
0.5000 0.0000 0.0000 P
0.0000 0.5000 0.0000 Ir
```

## Properties
* calculated volume: 232.0 Å³ per cell
* formation energy without anion corrections: -1227 meV per atom

=====

Computed, not measured: InSiSe3 after structural relaxation at the PBE-GGA level of DFT.

POSCAR file:
```
InSiSe3
1.0
4.9128 0.0000 0.0000
0.0000 4.9128 0.0000
0.0000 0.0000 4.9128
In Si Se
1 1 3
direct
0.0000 0.0000 0.0000 In
0.5000 0.5000 0.5000 Si
0.0000 0.5000 0.5000 Se
0.5000 0.0000 0.5000 Se
0.5000 0.5000 0.0000 Se
```

## Properties
* calculated volume: 118.6 Å³ per cell
* formation energy without anion corrections: 21 meV per atom

=====

Computed, not measured: Na7Hg2Sb after structural relaxation at the PBE-GGA level of DFT.

POSCAR file:
```
Na7Hg2Sb
1.0
5.3210 0.0000 0.0000
-2.6605 4.6081 0.0000
0.0000 0.0000 12.7978
Na Hg Sb
7 2 1
direct
0.0000 0.0000 0.0000 Na
0.0000 0.0000 0.2431 Na
0.0000 0.0000 0.7269 Na
0.3333 0.6667 0.3933 Na
0.3333 0.6667 0.8824 Na
0.6667 0.3333 0.1166 Na
0.6667 0.3333 0.5723 Na
0.0000 0.0000 0.4838 Hg
0.6667 0.3333 0.8375 Hg
0.3333 0.6667 0.1370 Sb
```

## Properties
* calculated volume: 313.8 Å³ per cell
* formation energy without anion corrections: -227 meV per atom